Below is an optimized crystal structure of NdDy4, with properties calculated at the PBE level.

Relative energy among the computed polymorphs, eV per atom: 0.000
ΔH_f (0 K), eV/f.u.: 0.1
Crystal system: monoclinic
N(E_F), states/eV/cell: 12.40

Structure (CIF):
```
data_NdDy4
_chemical_formula_sum 'Nd2 Dy8'
_cell_length_a 6.1820
_cell_length_b 3.5703
_cell_length_c 14.6629
_cell_angle_alpha 90.00
_cell_angle_beta 97.98
_cell_angle_gamma 90.00
_space_group_name_H-M_alt 'C 1 2/m 1'
_space_group_IT_number 12
loop_
_space_group_symop_operation_xyz
'x,y,z'
'-x,-y,-z'
'-x,y,-z'
'x,-y,z'
'x+1/2,y+1/2,z'
'-x+1/2,-y+1/2,-z'
'-x+1/2,y+1/2,-z'
'x+1/2,-y+1/2,z'
loop_
_atom_site_label
_atom_site_type_symbol
_atom_site_fract_x
_atom_site_fract_y
_atom_site_fract_z
Nd1 Nd 0.0000 0.0000 0.0000
Dy1 Dy 0.0995 0.5000 0.7964
Dy2 Dy 0.1995 0.0000 0.5990
```


Below is an optimized crystal structure of HgRuW, with properties calculated at the PBE level.

Relative energy among the computed polymorphs, eV per atom: 0.119
ΔH_f (0 K), eV/f.u.: 1.5
Crystal system: orthorhombic
N(E_F), states/eV/cell: 5.06

Structure (CIF):
```
data_HgRuW
_chemical_formula_sum 'Hg2 Ru2 W2'
_cell_length_a 2.9176
_cell_length_b 3.8379
_cell_length_c 8.9581
_cell_angle_alpha 90.00
_cell_angle_beta 90.00
_cell_angle_gamma 90.00
_space_group_name_H-M_alt 'I m m 2'
_space_group_IT_number 44
loop_
_space_group_symop_operation_xyz
'x,y,z'
'-x,-y,z'
'-x,y,z'
'x,-y,z'
'x+1/2,y+1/2,z+1/2'
'-x+1/2,-y+1/2,z+1/2'
'-x+1/2,y+1/2,z+1/2'
'x+1/2,-y+1/2,z+1/2'
loop_
_atom_site_label
_atom_site_type_symbol
_atom_site_fract_x
_atom_site_fract_y
_atom_site_fract_z
Hg1 Hg 0.0000 0.0000 0.0000
Ru1 Ru 0.0000 0.0000 0.6818
W1 W 0.0000 0.0000 0.3165
```


Summary of calculated total energy in eV per atom
-4.6187, -7.0223
(order as listed above)